This record from Alexandria via LeMat-Bulk describes a relaxed structure of Na2LaBr. The functional is PBE-GGA.

SG = I-42d
ΔE to the lowest computed polymorph = 0.000 eV/f.u.
energy = -20.991 eV/cell
raw formation energy = -0.314 eV/atom

a = 7.428 Å, b = 7.428 Å, c = 7.428 Å
α = 99.88°, β = 99.88°, γ = 131.06°
Fractional positions:
Na1 0.068 0.125 0.443
Na2 0.375 0.932 0.057
Na3 0.682 0.625 0.557
Na4 0.875 0.318 0.943
La1 0.250 0.750 0.500
La2 0.500 0.500 0.000
Br1 0.000 0.000 0.000
Br2 0.750 0.250 0.500